First-principles (PBE+U) data for an optimized crystal structure of FeSiI2O, as listed in Alexandria.

Output
total magnetic moment: 4.4 μB per formula unit
volume: 24.238 Å³ per atom
energy relative to the lowest polymorph listed for this composition: 198 meV per atom
energy: -3.75 eV per atom

```
FeSiI2O
1.0
5.712 0.000 0.000
0.000 5.712 0.000
0.000 0.000 3.714
Fe Si I O
1 1 2 1
Cartesian
0.000 0.000 0.000
2.856 2.856 1.857
0.000 2.856 0.000
2.856 0.000 0.000
0.000 0.000 1.857
```